1.
Entry from the Alexandria database: a geometry-optimized CsPIr2Pt structure (GGA-PBE).

```
5
Lattice="4.841 0.000 0.000 0.000 4.841 0.000 0.000 0.000 6.523" Properties=species:S:1:pos:R:3 pbc="T T T"
Cs 0.000 0.000 0.000
P 2.421 2.421 0.000
Ir 0.000 2.421 3.262
Ir 2.421 0.000 3.262
Pt 0.000 0.000 3.262
```

Output
The value obtained for the total energy is -0.154 Ha/atom. For the formation energy from the elements, the calculation gives 1816.7 meV per atom. The crystal system is tetragonal.


2.
Entry from the Alexandria database: a geometry-optimized CsP2IrS structure (GGA-PBE).

```
5
Lattice="4.618 0.000 0.000 0.000 4.618 0.000 0.000 0.000 5.592" Properties=species:S:1:pos:R:3 pbc="T T T"
Cs 0.000 0.000 0.000
P 0.000 2.309 2.796
P 2.309 0.000 2.796
Ir 2.309 2.309 2.796
S 2.309 2.309 0.000
```

Output
The calculation puts the energy above the most stable polymorph in this dataset at 0 meV per atom. The formation energy without anion corrections comes out at 0.220 eV/atom. The value obtained for the total energy is -0.173 Ha/atom. The crystal system is tetragonal.


3.
Entry from the Alexandria database: a geometry-optimized CsP2IrS structure (GGA-PBE).

```
5
Lattice="5.469 0.000 0.000 0.000 5.469 0.000 0.000 0.000 5.151" Properties=species:S:1:pos:R:3 pbc="T T T"
Cs 0.000 0.000 0.000
P 0.000 2.735 0.000
P 2.735 0.000 0.000
Ir 2.735 2.735 2.575
S 0.000 0.000 2.575
```

Output
The calculation puts the energy above the most stable polymorph in this dataset at 2559 meV per atom. The formation energy without anion corrections comes out at 2.779 eV/atom. The value obtained for the total energy is -0.079 Ha/atom. The crystal system is tetragonal.


4.
Entry from the Alexandria database: a geometry-optimized CsP2IrS8 structure (GGA-PBE).

```
12
Lattice="5.867 0.000 0.000 -2.934 5.081 0.000 0.000 0.000 10.375" Properties=species:S:1:pos:R:3 pbc="T T T"
Cs 0.000 0.000 0.000
P 0.000 3.387 7.139
P 2.934 1.694 3.236
Ir 0.000 0.000 5.188
S -1.895 3.429 3.830
S 0.912 1.726 3.830
S 0.000 3.387 9.132
S 1.950 0.073 6.545
S 0.983 5.008 3.830
S 2.934 1.694 1.243
S 2.022 3.356 6.545
S 4.829 1.653 6.545
```

Output
The formation energy without anion corrections comes out at -0.295 eV/atom. The value obtained for the total energy is -0.175 Ha/atom. The crystal system is trigonal.